No. 1
A plane-wave DFT calculation with PBE-GGA was carried out for a relaxed K2Np2VTe6 crystal.

Cell and atoms, written as POSCAR:
```
K2Np2VTe6
1.0
3.7137 -6.3854 0.0000
3.7137 6.3854 0.0000
-2.6194 0.0000 8.4689
K Np V Te
2 2 1 6
direct
0.1733 0.8267 0.0000 K
0.8267 0.1733 0.0000 K
0.3321 0.6679 0.5000 Np
0.6679 0.3321 0.5000 Np
0.0000 0.0000 0.5000 V
0.0744 0.3827 0.7009 Te
0.2420 0.2420 0.3014 Te
0.3827 0.0744 0.7009 Te
0.6173 0.9256 0.2991 Te
0.7580 0.7580 0.6986 Te
0.9256 0.6173 0.2991 Te
```

## Properties
D(E_F)   1.8524 states/eV per atom
Uncorrected formation energy   -0.71 eV per atom
Magnetization   9.000 μB/f.u.
Symmetry   No. 12


No. 2
A plane-wave DFT calculation with PBE-GGA was carried out for a relaxed K2YNpTe4 crystal.

Cell and atoms, written as POSCAR:
```
K2YNpTe4
1.0
7.8791 0.0000 0.0000
0.0000 4.5333 0.0000
-2.6211 0.0000 8.2126
K Y Np Te
2 1 1 4
direct
0.0000 0.0000 0.0000 K
0.5000 0.5000 0.0000 K
0.0000 0.5000 0.5000 Y
0.5000 0.0000 0.5000 Np
0.2324 0.0000 0.7094 Te
0.2604 0.5000 0.2907 Te
0.7396 0.5000 0.7093 Te
0.7676 0.0000 0.2906 Te
```

## Properties
D(E_F)   0.8626 states/eV per atom
Uncorrected formation energy   -1.14 eV per atom
Magnetization   4.000 μB/f.u.
Symmetry   No. 10